# Cs2BaNdF6 | Alexandria | PBE | optimized geometry
data_Cs2BaNdF6
_chemical_formula_sum 'Cs2 Ba1 Nd1 F6'
_cell_length_a 6.860
_cell_length_b 6.863
_cell_length_c 7.341
_cell_angle_alpha 62.23
_cell_angle_beta 62.20
_cell_angle_gamma 60.09
_symmetry_space_group_name_H-M 'P 1'
_symmetry_Int_Tables_number 1
loop_
_symmetry_equiv_pos_as_xyz
'x,y,z'
loop_
_atom_site_label
_atom_site_fract_x
_atom_site_fract_y
_atom_site_fract_z
_atom_site_occupancy
Cs1 0.230 0.231 0.309 1
Cs2 0.770 0.769 0.691 1
Ba1 0.000 0.000 0.000 1
Nd1 0.500 0.500 0.500 1
F1 0.226 0.731 0.308 1
F2 0.267 0.268 0.692 1
F3 0.267 0.774 0.692 1
F4 0.733 0.226 0.308 1
F5 0.733 0.732 0.308 1
F6 0.774 0.269 0.692 1
# Total energy ... -5.194 eV per atom
# Spin magnetization ... 0.0 μB per formula unit
# Formation energy without anion corrections ... -3118 kJ/mol of formula units
# V ... 25.24 Å³ per atom